No. 1
Entry from the Alexandria database: a relaxed LiMnAlO4 crystal (PBEsol).

```
28
Lattice="9.1731 0.0000 0.0000 0.0000 2.8226 0.0000 0.0000 0.0000 9.9387" Properties=species:S:1:pos:R:3 pbc="T T T"
Li 0.7524 0.7057 1.2450
Li 3.8341 2.1170 6.2143
Li 5.3389 0.7057 3.7244
Li 8.4206 2.1170 8.6937
Mn 2.0532 2.1170 8.4412
Mn 2.5333 0.7057 3.4718
Mn 6.6397 2.1170 6.4669
Mn 7.1199 0.7057 1.4975
Al 0.0042 0.7057 6.2255
Al 9.1689 2.1170 3.7132
Al 4.5907 0.7057 8.6825
Al 4.5823 2.1170 1.2562
O 0.7585 2.1170 7.1260
O 0.9773 0.7057 4.6128
O 1.2029 0.7057 9.3112
O 1.5378 2.1170 2.5616
O 3.0488 0.7057 7.5309
O 3.3836 2.1170 4.3418
O 3.6092 2.1170 9.5822
O 3.8280 0.7057 2.1566
O 5.3451 2.1170 7.7821
O 5.5638 0.7057 0.3565
O 5.7894 0.7057 5.5969
O 6.1243 2.1170 2.4077
O 7.6353 0.7057 7.3771
O 7.9702 2.1170 0.6275
O 8.1958 2.1170 5.3259
O 8.4145 0.7057 2.8127
```

SG = Pnma (62)
Formation energy without anion corrections = -2.2924 eV per atom

***

No. 2
Entry from the Alexandria database: a relaxed Nb2Co2Ir crystal (PBEsol).

```
10
Lattice="6.7313 0.0000 0.0000 0.0000 6.7313 0.0000 0.0000 0.0000 3.0319" Properties=species:S:1:pos:R:3 pbc="T T T"
Nb 1.1886 2.1770 0.0000
Nb 2.1770 5.5426 0.0000
Nb 4.5542 1.1886 0.0000
Nb 5.5426 4.5542 0.0000
Co 0.8467 4.2123 1.5160
Co 2.5190 0.8467 1.5160
Co 4.2123 5.8846 1.5160
Co 5.8846 2.5190 1.5160
Ir 0.0000 0.0000 1.5160
Ir 3.3656 3.3656 1.5160
```

SG = P4/mbm (127)
Energy of formation from the pure elements = -0.299 eV/atom

***

No. 3
Entry from the Alexandria database: a relaxed Pa2S3 crystal (PBEsol).

```
10
Lattice="3.3576 1.9385 6.1702 -3.3576 1.9385 6.1702 0.0000 -3.8770 6.1702" Properties=species:S:1:pos:R:3 pbc="T T T"
Pa 0.0000 0.0000 2.9067
Pa 0.0000 0.0000 6.3486
Pa 0.0000 0.0000 12.1619
Pa 0.0000 0.0000 15.6038
S -2.3098 -0.1237 7.7127
S -1.0478 -2.0622 10.7978
S 1.2620 -1.9385 7.7127
S -1.2620 1.9385 10.7978
S 1.0478 2.0622 7.7127
S 2.3098 0.1237 10.7978
```

SG = R-3c (167)
Formation energy without anion corrections = -1.4632 eV per atom